# 1
{
  "formula": "AgGeI2",
  "functional": "PBE",
  "state": "relaxed",
  "cell": [[5.9976, 0.0000, 0.0000], [0.0000, 5.9976, 0.0000], [0.0000, 0.0000, 16.6278]],
  "species": ["Ag", "Ag", "Ag", "Ag", "Ge", "Ge", "Ge", "Ge", "I", "I", "I", "I", "I", "I", "I", "I"],
  "frac_coords": [[0.0000, 0.0000, 0.0000], [0.0000, 0.5000, 0.2500], [0.5000, 0.0000, 0.7500], [0.5000, 0.5000, 0.5000], [0.0000, 0.0000, 0.5000], [0.0000, 0.5000, 0.7500], [0.5000, 0.0000, 0.2500], [0.5000, 0.5000, 0.0000], [0.2440, 0.2500, 0.1250], [0.2500, 0.7440, 0.3750], [0.2500, 0.7560, 0.8750], [0.2560, 0.2500, 0.6250], [0.7440, 0.7500, 0.6250], [0.7500, 0.2440, 0.8750], [0.7500, 0.2560, 0.3750], [0.7560, 0.7500, 0.1250]],
  "total_magnetization_mub_per_fu": 0.000,
  "space_group": "I-42d",
  "formation_energy_uncorrected_mev_per_atom": 184,
  "dos_at_fermi_per_ev_cell": 7.2
}

=====

# 2
{
  "formula": "AgGeI3",
  "functional": "PBE",
  "state": "relaxed",
  "cell": [[5.7836, 0.0000, 0.0000], [0.0000, 5.7836, 0.0000], [0.0000, 0.0000, 5.7836]],
  "species": ["Ag", "Ge", "I", "I", "I"],
  "frac_coords": [[0.0000, 0.0000, 0.0000], [0.5000, 0.5000, 0.5000], [0.0000, 0.5000, 0.5000], [0.5000, 0.0000, 0.5000], [0.5000, 0.5000, 0.0000]],
  "total_magnetization_mub_per_fu": 0.002,
  "space_group": "Pm-3m",
  "formation_energy_uncorrected_mev_per_atom": 118,
  "dos_at_fermi_per_ev_cell": 0.1
}

=====

# 3
{
  "formula": "AgGeI6",
  "functional": "PBE",
  "state": "relaxed",
  "cell": [[6.5941, 0.0000, 0.0000], [-2.7678, 6.6840, 0.0000], [-0.0510, -3.4770, 7.1370]],
  "species": ["Ag", "Ge", "I", "I", "I", "I", "I", "I"],
  "frac_coords": [[0.0000, 0.0000, 0.0000], [0.5000, 0.0000, 0.5000], [0.2122, 0.1366, 0.7348], [0.2628, 0.5298, 0.4877], [0.2642, 0.8341, 0.1096], [0.7358, 0.1659, 0.8904], [0.7372, 0.4702, 0.5123], [0.7878, 0.8634, 0.2652]],
  "total_magnetization_mub_per_fu": 0.000,
  "space_group": "P-1",
  "formation_energy_uncorrected_mev_per_atom": -36,
  "dos_at_fermi_per_ev_cell": 2.9
}

=====

# 4
{
  "formula": "AgGeI3",
  "functional": "PBE",
  "state": "relaxed",
  "cell": [[8.8691, 0.0000, 0.0000], [0.0000, 4.4389, 0.0000], [-1.8681, 0.0000, 11.4698]],
  "species": ["Ag", "Ag", "Ge", "Ge", "I", "I", "I", "I", "I", "I"],
  "frac_coords": [[0.1185, 0.2500, 0.0063], [0.8815, 0.7500, 0.9937], [0.1122, 0.2500, 0.6758], [0.8878, 0.7500, 0.3242], [0.1627, 0.7500, 0.1670], [0.2230, 0.7500, 0.5494], [0.3460, 0.2500, 0.8577], [0.6540, 0.7500, 0.1423], [0.7770, 0.2500, 0.4506], [0.8373, 0.2500, 0.8330]],
  "total_magnetization_mub_per_fu": 0.000,
  "space_group": "P2_1/m",
  "formation_energy_uncorrected_mev_per_atom": -228,
  "dos_at_fermi_per_ev_cell": 0.0
}

=====

# 5
{
  "formula": "AgGe2I",
  "functional": "PBE",
  "state": "relaxed",
  "cell": [[7.1912, 0.0000, 0.0000], [0.0000, 7.1912, 0.0000], [0.0000, 0.0000, 7.1912]],
  "species": ["Ag", "Ag", "Ag", "Ag", "Ge", "Ge", "Ge", "Ge", "Ge", "Ge", "Ge", "Ge", "I", "I", "I", "I"],
  "frac_coords": [[0.0000, 0.0000, 0.0000], [0.0000, 0.5000, 0.5000], [0.5000, 0.0000, 0.5000], [0.5000, 0.5000, 0.0000], [0.2500, 0.2500, 0.2500], [0.2500, 0.2500, 0.7500], [0.2500, 0.7500, 0.2500], [0.2500, 0.7500, 0.7500], [0.7500, 0.2500, 0.2500], [0.7500, 0.2500, 0.7500], [0.7500, 0.7500, 0.2500], [0.7500, 0.7500, 0.7500], [0.0000, 0.0000, 0.5000], [0.0000, 0.5000, 0.0000], [0.5000, 0.0000, 0.0000], [0.5000, 0.5000, 0.5000]],
  "total_magnetization_mub_per_fu": 0.000,
  "space_group": "Fm-3m",
  "formation_energy_uncorrected_mev_per_atom": 598,
  "dos_at_fermi_per_ev_cell": 9.2
}

=====

# 6
{
  "formula": "In2AgGeI5",
  "functional": "PBE",
  "state": "relaxed",
  "cell": [[2.2614, -10.2238, 0.0000], [2.2614, 10.2238, 0.0000], [0.0000, 0.0000, 14.9987]],
  "species": ["In", "In", "In", "In", "Ag", "Ag", "Ge", "Ge", "I", "I", "I", "I", "I", "I", "I", "I", "I", "I"],
  "frac_coords": [[0.0916, 0.9084, 0.5000], [0.1257, 0.8743, 0.1289], [0.8743, 0.1257, 0.6289], [0.9084, 0.0916, 0.0000], [0.4321, 0.5679, 0.2860], [0.5679, 0.4321, 0.7860], [0.2220, 0.7780, 0.8614], [0.7780, 0.2220, 0.3614], [0.0588, 0.9412, 0.9001], [0.2723, 0.7277, 0.5007], [0.2955, 0.7045, 0.2264], [0.3595, 0.6405, 0.8321], [0.5004, 0.4996, 0.1235], [0.4996, 0.5004, 0.6235], [0.6405, 0.3595, 0.3321], [0.7045, 0.2955, 0.7264], [0.7277, 0.2723, 0.0007], [0.9412, 0.0588, 0.4001]],
  "total_magnetization_mub_per_fu": 0.000,
  "space_group": "Cmc2_1",
  "formation_energy_uncorrected_mev_per_atom": -354,
  "dos_at_fermi_per_ev_cell": 0.0
}

=====

# 7
{
  "formula": "KAgGe2I6",
  "functional": "PBE",
  "state": "relaxed",
  "cell": [[6.8979, -8.7678, 0.0000], [6.8979, 8.7678, 0.0000], [-3.5235, 0.0000, 7.4933]],
  "species": ["K", "K", "Ag", "Ag", "Ge", "Ge", "Ge", "Ge", "I", "I", "I", "I", "I", "I", "I", "I", "I", "I", "I", "I"],
  "frac_coords": [[0.0977, 0.9023, 0.7500], [0.9023, 0.0977, 0.2500], [0.1944, 0.8056, 0.2500], [0.8056, 0.1944, 0.7500], [0.2798, 0.4712, 0.8437], [0.4712, 0.2798, 0.3437], [0.5288, 0.7202, 0.6563], [0.7202, 0.5288, 0.1563], [0.0658, 0.2215, 0.7154], [0.1215, 0.6263, 0.9006], [0.2215, 0.0658, 0.2154], [0.2699, 0.4643, 0.5065], [0.3737, 0.8785, 0.5994], [0.4643, 0.2699, 0.0065], [0.5357, 0.7301, 0.9935], [0.6263, 0.1215, 0.4006], [0.7301, 0.5357, 0.4935], [0.7785, 0.9342, 0.7846], [0.8785, 0.3737, 0.0994], [0.9342, 0.7785, 0.2846]],
  "total_magnetization_mub_per_fu": 0.000,
  "space_group": "C2/c",
  "formation_energy_uncorrected_mev_per_atom": -489,
  "dos_at_fermi_per_ev_cell": 0.0
}

=====

# 8
{
  "formula": "La6AgGe2I3",
  "functional": "PBE",
  "state": "relaxed",
  "cell": [[3.9056, -6.7706, 0.0000], [3.9056, 6.7706, 0.0000], [-2.6134, 0.0000, 7.5079]],
  "species": ["La", "La", "La", "La", "La", "La", "Ag", "Ge", "Ge", "I", "I", "I"],
  "frac_coords": [[0.0827, 0.4282, 0.7830], [0.2259, 0.2259, 0.2153], [0.4282, 0.0827, 0.7830], [0.5718, 0.9173, 0.2170], [0.7741, 0.7741, 0.7847], [0.9173, 0.5718, 0.2170], [0.5000, 0.5000, 0.0000], [0.1666, 0.8334, 0.0000], [0.8334, 0.1666, 0.0000], [0.0000, 0.0000, 0.5000], [0.3352, 0.6648, 0.5000], [0.6648, 0.3352, 0.5000]],
  "total_magnetization_mub_per_fu": 0.000,
  "space_group": "C2/m",
  "formation_energy_uncorrected_mev_per_atom": -911,
  "dos_at_fermi_per_ev_cell": 10.2
}

=====

What did the fourth record say?
{
  "formula": "AgGeI3",
  "functional": "PBE",
  "state": "relaxed",
  "cell": [[8.8691, 0.0000, 0.0000], [0.0000, 4.4389, 0.0000], [-1.8681, 0.0000, 11.4698]],
  "species": ["Ag", "Ag", "Ge", "Ge", "I", "I", "I", "I", "I", "I"],
  "frac_coords": [[0.1185, 0.2500, 0.0063], [0.8815, 0.7500, 0.9937], [0.1122, 0.2500, 0.6758], [0.8878, 0.7500, 0.3242], [0.1627, 0.7500, 0.1670], [0.2230, 0.7500, 0.5494], [0.3460, 0.2500, 0.8577], [0.6540, 0.7500, 0.1423], [0.7770, 0.2500, 0.4506], [0.8373, 0.2500, 0.8330]],
  "total_magnetization_mub_per_fu": 0.000,
  "space_group": "P2_1/m",
  "formation_energy_uncorrected_mev_per_atom": -228,
  "dos_at_fermi_per_ev_cell": 0.0
}